Here is SrIn2Os after structural relaxation from Alexandria via LeMat-Bulk. Energies are from PBE.

```
data_SrIn2Os
_chemical_formula_sum 'Sr1 In2 Os1'
_symmetry_space_group_name_H-M 'P 1'
_symmetry_Int_Tables_number 1
_cell_length_a 3.559
_cell_length_b 3.617
_cell_length_c 8.536
_cell_angle_alpha 64.82
_cell_angle_beta 90.00
_cell_angle_gamma 90.00
loop_
_symmetry_equiv_pos_as_xyz
'x,y,z'
loop_
_atom_site_label
_atom_site_type_symbol
_atom_site_fract_x
_atom_site_fract_y
_atom_site_fract_z
_atom_site_occupancy
In1 In 0.000 0.948 0.052 1
In2 In 0.500 0.201 0.299 1
Os1 Os 0.000 0.565 0.435 1
Sr1 Sr 0.500 0.786 0.714 1
```

Calculated values
Its symmetry is No. 6. The formation enthalpy at 0 K is 25 kJ/mol of atoms. Its crystal system is monoclinic. The density of states at the Fermi level comes out at 0.567 states/eV/atom.

Here is TlSn2Hg2 after structural relaxation from Alexandria via LeMat-Bulk. Energies are from PBE.

```
data_TlSn2Hg2
_chemical_formula_sum 'Tl1 Sn2 Hg2'
_symmetry_space_group_name_H-M 'P 1'
_symmetry_Int_Tables_number 1
_cell_length_a 3.302
_cell_length_b 3.302
_cell_length_c 13.007
_cell_angle_alpha 97.29
_cell_angle_beta 97.29
_cell_angle_gamma 90.00
loop_
_symmetry_equiv_pos_as_xyz
'x,y,z'
loop_
_atom_site_label
_atom_site_type_symbol
_atom_site_fract_x
_atom_site_fract_y
_atom_site_fract_z
_atom_site_occupancy
Tl1 Tl 0.000 0.000 0.000 1
Sn1 Sn 0.797 0.797 0.594 1
Sn2 Sn 0.203 0.203 0.406 1
Hg1 Hg 0.603 0.603 0.206 1
Hg2 Hg 0.397 0.397 0.794 1
```

Calculated values
Its symmetry is No. 139. The formation enthalpy at 0 K is 5 kJ/mol of atoms. Its crystal system is tetragonal. The density of states at the Fermi level comes out at 0.543 states/eV/atom. The calculation puts the energy above the most stable polymorph in this dataset at 0 meV/atom.

Here is CaTa2Ni after structural relaxation from Alexandria via LeMat-Bulk. Energies are from PBE.

```
data_CaTa2Ni
_chemical_formula_sum 'Ca1 Ta2 Ni1'
_symmetry_space_group_name_H-M 'P 1'
_symmetry_Int_Tables_number 1
_cell_length_a 5.154
_cell_length_b 5.154
_cell_length_c 5.701
_cell_angle_alpha 76.37
_cell_angle_beta 76.37
_cell_angle_gamma 33.29
loop_
_symmetry_equiv_pos_as_xyz
'x,y,z'
loop_
_atom_site_label
_atom_site_type_symbol
_atom_site_fract_x
_atom_site_fract_y
_atom_site_fract_z
_atom_site_occupancy
Ni1 Ni 0.276 0.276 0.204 1
Ca1 Ca 0.520 0.520 0.465 1
Ta1 Ta 0.980 0.980 0.988 1
Ta2 Ta 0.724 0.724 0.843 1
```

Calculated values
Its symmetry is No. 8. The formation enthalpy at 0 K is 40 kJ/mol of atoms. Its crystal system is monoclinic. The density of states at the Fermi level comes out at 0.708 states/eV/atom. The calculation puts the energy above the most stable polymorph in this dataset at 208 meV/atom.

Here is ScBiS2 after structural relaxation from Alexandria via LeMat-Bulk. Energies are from PBE.

```
data_ScBiS2
_chemical_formula_sum 'Sc4 Bi4 S8'
_symmetry_space_group_name_H-M 'P 1'
_symmetry_Int_Tables_number 1
_cell_length_a 6.768
_cell_length_b 3.426
_cell_length_c 18.086
_cell_angle_alpha 90.00
_cell_angle_beta 90.00
_cell_angle_gamma 90.00
loop_
_symmetry_equiv_pos_as_xyz
'x,y,z'
loop_
_atom_site_label
_atom_site_type_symbol
_atom_site_fract_x
_atom_site_fract_y
_atom_site_fract_z
_atom_site_occupancy
Sc1 Sc 0.372 0.250 0.303 1
Sc2 Sc 0.128 0.750 0.803 1
Sc3 Sc 0.628 0.750 0.697 1
Sc4 Sc 0.872 0.250 0.197 1
S1 S 0.647 0.250 0.591 1
S2 S 0.853 0.750 0.091 1
S3 S 0.353 0.750 0.409 1
S4 S 0.147 0.250 0.909 1
S5 S 0.350 0.250 0.732 1
S6 S 0.150 0.750 0.232 1
S7 S 0.650 0.750 0.268 1
S8 S 0.850 0.250 0.768 1
Bi1 Bi 0.024 0.250 0.578 1
Bi2 Bi 0.476 0.750 0.078 1
Bi3 Bi 0.976 0.750 0.422 1
Bi4 Bi 0.524 0.250 0.922 1
```

Calculated values
The calculation puts the uncorrected formation energy at -1.10 eV per atom. Its symmetry is No. 62. Its crystal system is orthorhombic. The density of states at the Fermi level comes out at 0.188 states/eV/atom.

Here is Pm6SiOs2Cl3 after structural relaxation from Alexandria via LeMat-Bulk. Energies are from PBE.

```
data_Pm6SiOs2Cl3
_chemical_formula_sum 'Pm6 Si1 Os2 Cl3'
_symmetry_space_group_name_H-M 'P 1'
_symmetry_Int_Tables_number 1
_cell_length_a 7.175
_cell_length_b 7.175
_cell_length_c 7.762
_cell_angle_alpha 98.87
_cell_angle_beta 98.87
_cell_angle_gamma 120.11
loop_
_symmetry_equiv_pos_as_xyz
'x,y,z'
loop_
_atom_site_label
_atom_site_type_symbol
_atom_site_fract_x
_atom_site_fract_y
_atom_site_fract_z
_atom_site_occupancy
Pm1 Pm 0.932 0.581 0.791 1
Pm2 Pm 0.720 0.720 0.210 1
Pm3 Pm 0.068 0.419 0.209 1
Pm4 Pm 0.581 0.932 0.791 1
Pm5 Pm 0.280 0.280 0.790 1
Pm6 Pm 0.419 0.068 0.209 1
Si1 Si 0.000 0.000 0.000 1
Os1 Os 0.334 0.666 0.000 1
Os2 Os 0.666 0.334 0.000 1
Cl1 Cl 0.165 0.835 0.500 1
Cl2 Cl 0.835 0.165 0.500 1
Cl3 Cl 0.500 0.500 0.500 1
```

Calculated values
The calculation puts the uncorrected formation energy at -0.90 eV per atom. Its symmetry is No. 12. Its crystal system is monoclinic. The density of states at the Fermi level comes out at 0.570 states/eV/atom.

Here is Sc2BRh after structural relaxation from Alexandria via LeMat-Bulk. Energies are from PBE.

```
data_Sc2BRh
_chemical_formula_sum 'Sc4 B2 Rh2'
_symmetry_space_group_name_H-M 'P 1'
_symmetry_Int_Tables_number 1
_cell_length_a 6.695
_cell_length_b 6.695
_cell_length_c 5.616
_cell_angle_alpha 53.41
_cell_angle_beta 53.41
_cell_angle_gamma 90.00
loop_
_symmetry_equiv_pos_as_xyz
'x,y,z'
loop_
_atom_site_label
_atom_site_type_symbol
_atom_site_fract_x
_atom_site_fract_y
_atom_site_fract_z
_atom_site_occupancy
Sc1 Sc 0.591 0.125 0.250 1
Sc2 Sc 0.159 0.625 0.250 1
Sc3 Sc 0.375 0.409 0.750 1
Sc4 Sc 0.875 0.841 0.750 1
B1 B 0.500 0.500 0.000 1
B2 B 0.250 0.750 0.500 1
Rh1 Rh 0.000 0.000 0.000 1
Rh2 Rh 0.750 0.250 0.500 1
```

Calculated values
Its symmetry is No. 122. The formation enthalpy at 0 K is 4 kJ/mol of atoms. Its crystal system is tetragonal. The density of states at the Fermi level comes out at 0.776 states/eV/atom.